No. 1
A relaxed La12Y7Ho crystal. Source: Alexandria, functional PBE.

Cell: 12.5435 12.5435 15.5011 Å, 90.00 90.00 120.00°
Space group R-3 (No. 148, hexagonal axes)
Asymmetric unit:
La  0.0135  0.4392  0.2203 [18 per cell]
La  0.0645  0.5962  0.5789 [18 per cell]
Y  0.0000  0.0000  0.0000 [3 per cell]
Y  0.0512  0.1838  0.3067 [18 per cell]
Ho  0.0000  0.0000  0.5000 [3 per cell]

Values from the calculation:
- Formation enthalpy at 0 K: 0.183 eV/atom
- Uncorrected energy: -5.27 eV/atom

---

No. 2
A relaxed CdSbOs3 crystal. Source: Alexandria, functional PBE.

Cell: 4.8368 4.8368 4.8368 Å, 90.00 90.00 90.00°
Space group Pm-3m (No. 221)
Asymmetric unit:
Cd  0.0000  0.0000  0.0000 [1 per cell]
Sb  0.5000  0.5000  0.5000 [1 per cell]
Os  0.0000  0.5000  0.5000 [3 per cell]

Values from the calculation:
- Formation energy without anion corrections: 2.24 eV/atom
- Uncorrected energy: -5.50 eV/atom

---

No. 3
A relaxed Al7As6 crystal. Source: Alexandria, functional PBE.

Cell: 5.9331 5.9331 24.9993 Å, 90.00 90.00 120.00°
Space group R-3m (No. 166, hexagonal axes)
Asymmetric unit:
Al  0.0000  0.0000  0.0000 [3 per cell]
Al  0.0096  0.5048  0.5768 [18 per cell]
As  0.0000  0.0000  0.1716 [6 per cell]
As  0.0000  0.0000  0.3182 [6 per cell]
As  0.0000  0.0000  0.4478 [6 per cell]

Values from the calculation:
- Formation enthalpy at 0 K: 0.075 eV/atom
- Uncorrected energy: -4.09 eV/atom

---

No. 4
A relaxed K2PW crystal. Source: Alexandria, functional PBE.

Cell: 20.7461 3.3648 3.5381 Å, 90.00 99.08 90.00°
Space group C2/m (No. 12)
Asymmetric unit:
K  0.1483  0.0000  0.1363 [4 per cell]
P  0.0000  0.5000  0.0000 [2 per cell]
W  0.0000  0.0000  0.5000 [2 per cell]

Values from the calculation:
- Formation enthalpy at 0 K: 0.423 eV/atom
- Uncorrected energy: -4.72 eV/atom